A plane-wave DFT calculation with PBE was carried out for a relaxed structure of Ac5Sn2Pb2.

## Properties
The formation energy is -363 kJ/mol of formula units.

Cell: 18.8645 8.8506 8.5387 Å, 90.00 90.00 90.00°
Space group Ima2 (No. 46)
Unique sites:
Ac 0.0581 0.1805 0.0000 x8
Ac 0.1558 0.6603 0.1669 x8
Ac 0.2500 0.1825 0.3098 x4
Sn 0.0000 0.0000 0.6696 x4
Sn 0.2500 0.5301 0.4851 x4
Pb 0.0838 0.5384 0.8250 x8